DFT (GGA-PBE) results for La2DyBe after structural relaxation.

electronic total energy = -4.406 eV/atom
calculated formation energy = 0.140 eV per atom
Fermi-level density of states = 5.959 states/eV/f.u.

Cell: 3.6748 3.6748 8.5671 Å, 90.00 90.00 90.00°
With the nearest neighbours (Å) after each atom.
Fractional positions:
La: 0.0000 0.0000 0.1966  4 Be 3.10, 1 La 3.37
La: 0.0000 0.0000 0.8034  4 Be 3.10, 1 La 3.37
Dy: 0.5000 0.5000 0.5000  4 Dy 3.67, 8 La 3.68
Be: 0.5000 0.5000 0.0000  8 La 3.10